Density functional theory data (PBE) for a relaxed KEuHg2 crystal.

Cell: 3.951 3.951 8.468 Å, 90.00 90.00 90.00°
Positions (direct):
K (0.000, 0.000, 0.000)
Eu (0.000, 0.000, 0.500)
Hg (0.500, 0.500, 0.286)
Hg (0.500, 0.500, 0.714)

Values from the calculation:
- energy (eV/atom) = -3.339
- crystal system = tetragonal
- formation energy (meV/atom) = -345